Record 1
This record from the Alexandria database describes a relaxed structure of ScFe3S. The functional is PBE-GGA.

It has space group Pm-3m (No. 221), with a = 4.1861 Å, b = 4.1861 Å, c = 4.1861 Å, α = 90.00°, β = 90.00° and γ = 90.00°. The inequivalent atoms are Sc at (0.0000, 0.0000, 0.0000), Fe at (0.0000, 0.5000, 0.5000) and S at (0.5000, 0.5000, 0.5000).

The calculation puts the final energy at -0.5343 Ry per atom.

Record 2
This record from the Alexandria database describes a relaxed structure of Sc3FeS. The functional is PBE-GGA.

It has space group Pm-3m (No. 221), with a = 4.7599 Å, b = 4.7599 Å, c = 4.7599 Å, α = 90.00°, β = 90.00° and γ = 90.00°. The inequivalent atoms are Sc at (0.0000, 0.0000, 0.5000), Fe at (0.0000, 0.0000, 0.0000) and S at (0.5000, 0.5000, 0.5000).

The calculation puts the final energy at -0.4718 Ry per atom.

Record 3
This record from the Alexandria database describes a relaxed structure of ScFeS3. The functional is PBE-GGA.

It has space group Pm-3m (No. 221), with a = 4.4520 Å, b = 4.4520 Å, c = 4.4520 Å, α = 90.00°, β = 90.00° and γ = 90.00°. The inequivalent atoms are Sc at (0.0000, 0.0000, 0.0000), Fe at (0.5000, 0.5000, 0.5000) and S at (0.0000, 0.5000, 0.5000).

The calculation puts the final energy at -0.4291 Ry per atom.

Record 4
This record from the Alexandria database describes a relaxed structure of ScTaFe2S. The functional is PBE-GGA.

It has space group P4/mmm (No. 123), with a = 4.2470 Å, b = 4.2470 Å, c = 4.5862 Å, α = 90.00°, β = 90.00° and γ = 90.00°. The inequivalent atoms are Sc at (0.0000, 0.0000, 0.0000), Ta at (0.5000, 0.5000, 0.5000), Fe at (0.0000, 0.5000, 0.0000) and S at (0.0000, 0.0000, 0.5000).

The calculation puts the final energy at -0.4811 Ry per atom.

What ΔE_f (raw) values result from the calculations? In sequence: -48 -49 -195 628 kJ/mol of formula units.